## LaMo2O (PBE with a Hubbard U)

Data for crystalline LaMo2O at its relaxed geometry.

V = 367.2 Å³ per cell

Cell lengths 5.937, 5.937, 10.417 Å; angles 90.00, 90.00, 90.00 degrees
Positions (direct):
La (0.000, 0.250, 0.375)
La (0.000, 0.750, 0.625)
La (0.500, 0.250, 0.125)
La (0.500, 0.750, 0.875)
Mo (0.000, 0.000, 0.000)
Mo (0.000, 0.500, 0.000)
Mo (0.250, 0.250, 0.750)
Mo (0.250, 0.750, 0.250)
Mo (0.500, 0.000, 0.500)
Mo (0.500, 0.500, 0.500)
Mo (0.750, 0.250, 0.750)
Mo (0.750, 0.750, 0.250)
O (0.000, 0.250, 0.875)
O (0.000, 0.750, 0.125)
O (0.500, 0.250, 0.625)
O (0.500, 0.750, 0.375)

***

## LaMoO2 (PBE with a Hubbard U)

Data for crystalline LaMoO2 at its relaxed geometry.

distance to the lowest polymorph of the same formula = 387 meV per atom
V = 266.4 Å³ per cell

Cell lengths 4.505, 4.505, 13.127 Å; angles 90.00, 90.00, 90.00 degrees
Positions (direct):
La (0.000, 0.000, 0.000)
La (0.000, 0.500, 0.250)
La (0.500, 0.000, 0.750)
La (0.500, 0.500, 0.500)
Mo (0.000, 0.000, 0.500)
Mo (0.000, 0.500, 0.750)
Mo (0.500, 0.000, 0.250)
Mo (0.500, 0.500, 0.000)
O (0.178, 0.250, 0.625)
O (0.250, 0.678, 0.875)
O (0.250, 0.822, 0.375)
O (0.322, 0.250, 0.125)
O (0.678, 0.750, 0.125)
O (0.750, 0.178, 0.375)
O (0.750, 0.322, 0.875)
O (0.822, 0.750, 0.625)

***

## LaMo2O2 (PBE with a Hubbard U)

Data for crystalline LaMo2O2 at its relaxed geometry.

distance to the lowest polymorph of the same formula = 0 meV per atom
V = 152.5 Å³ per cell

Cell lengths 4.201, 4.201, 8.637 Å; angles 90.00, 90.00, 90.00 degrees
Positions (direct):
La (0.000, 0.000, 0.000)
La (0.500, 0.500, 0.500)
Mo (0.000, 0.000, 0.361)
Mo (0.000, 0.000, 0.639)
Mo (0.500, 0.500, 0.139)
Mo (0.500, 0.500, 0.861)
O (0.000, 0.500, 0.250)
O (0.000, 0.500, 0.750)
O (0.500, 0.000, 0.250)
O (0.500, 0.000, 0.750)

***

## LaMo2O2 (PBE with a Hubbard U)

Data for crystalline LaMo2O2 at its relaxed geometry.

distance to the lowest polymorph of the same formula = 813 meV per atom
V = 165.4 Å³ per cell

Cell lengths 7.618, 7.618, 2.850 Å; angles 90.00, 90.00, 90.00 degrees
Positions (direct):
La (0.000, 0.000, 0.000)
La (0.500, 0.500, 0.000)
Mo (0.116, 0.384, 0.000)
Mo (0.384, 0.884, 0.000)
Mo (0.616, 0.116, 0.000)
Mo (0.884, 0.616, 0.000)
O (0.116, 0.616, 0.500)
O (0.384, 0.116, 0.500)
O (0.616, 0.884, 0.500)
O (0.884, 0.384, 0.500)

***

## LaMoPO2 (PBE with a Hubbard U)

Data for crystalline LaMoPO2 at its relaxed geometry.

distance to the lowest polymorph of the same formula = 864 meV per atom
V = 115.9 Å³ per cell

Cell lengths 4.192, 4.192, 6.597 Å; angles 90.00, 90.00, 90.00 degrees
Positions (direct):
La (0.000, 0.000, 0.000)
Mo (0.500, 0.500, 0.500)
P (0.000, 0.000, 0.500)
O (0.000, 0.500, 0.000)
O (0.500, 0.000, 0.000)

***

## LaMoPO2 (PBE with a Hubbard U)

Data for crystalline LaMoPO2 at its relaxed geometry.

distance to the lowest polymorph of the same formula = 0 meV per atom
V = 85.6 Å³ per cell

Cell lengths 4.117, 4.117, 5.048 Å; angles 90.00, 90.00, 90.00 degrees
Positions (direct):
La (0.000, 0.000, 0.000)
Mo (0.500, 0.500, 0.500)
P (0.500, 0.500, 0.000)
O (0.000, 0.500, 0.500)
O (0.500, 0.000, 0.500)

***

## LaPaMoO6 (PBE with a Hubbard U)

Data for crystalline LaPaMoO6 at its relaxed geometry.

V = 133.6 Å³ per cell

Cell lengths 5.639, 5.639, 4.851 Å; angles 90.00, 90.00, 120.00 degrees
Positions (direct):
La (0.000, 0.000, 0.000)
Pa (0.667, 0.333, 0.500)
Mo (0.333, 0.667, 0.000)
O (0.011, 0.376, 0.242)
O (0.011, 0.635, 0.758)
O (0.365, 0.376, 0.758)
O (0.365, 0.989, 0.242)
O (0.624, 0.635, 0.242)
O (0.624, 0.989, 0.758)

***

## LaMoPb2O6 (PBE with a Hubbard U)

Data for crystalline LaMoPb2O6 at its relaxed geometry.

V = 159.9 Å³ per cell

Cell lengths 5.865, 5.865, 6.331 Å; angles 118.17, 118.17, 61.45 degrees
Positions (direct):
La (0.000, 0.000, 0.000)
Mo (0.500, 0.500, 0.500)
Pb (0.237, 0.236, 0.684)
Pb (0.764, 0.763, 0.316)
O (0.193, 0.673, 0.663)
O (0.286, 0.288, 0.210)
O (0.327, 0.807, 0.337)
O (0.672, 0.194, 0.663)
O (0.712, 0.714, 0.790)
O (0.806, 0.328, 0.337)

***

| no. | DFT total energy (eV/atom) |
| --- | --- |
| 1 | -5.57 |
| 2 | -6.92 |
| 3 | -6.17 |
| 4 | -5.36 |
| 5 | -6.10 |
| 6 | -6.96 |
| 7 | -8.53 |
| 8 | -6.82 |